Entry 1:
Material: Na2Er2TeS6
Method: DFT, PBE
State: optimized geometry

Formation energy without anion corrections   -1310 meV/atom
DOS(E_F)   0.00 states/eV/cell
Total magnetization   0.0 μB per formula unit

Cell: 6.812 11.760 7.130 Å, 90.00 107.72 90.00°
Space group C2/m (No. 12)
Inequivalent atoms, fractional coordinates:
Na: 0.000 0.163 0.000 (multiplicity 4)
Er: 0.000 0.334 0.500 (multiplicity 4)
Te: 0.000 0.000 0.500 (multiplicity 2)
S: 0.233 0.165 0.719 (multiplicity 8)
S: 0.245 0.500 0.720 (multiplicity 4)


Entry 2:
Material: Na3Er2ThS6
Method: DFT, PBE
State: optimized geometry

Formation energy without anion corrections   -1765 meV/atom
DOS(E_F)   7.39 states/eV/cell
Total magnetization   0.0 μB per formula unit

Cell: 17.678 3.957 8.189 Å, 90.00 105.02 90.00°
Space group C2/m (No. 12)
Inequivalent atoms, fractional coordinates:
Na: 0.000 0.000 0.000 (multiplicity 2)
Na: 0.168 0.500 0.330 (multiplicity 4)
Er: 0.169 0.500 0.840 (multiplicity 4)
Th: 0.000 0.000 0.500 (multiplicity 2)
S: 0.006 0.500 0.751 (multiplicity 4)
S: 0.164 0.000 0.600 (multiplicity 4)
S: 0.172 0.000 0.070 (multiplicity 4)


Entry 3:
Material: Na3ErTh3S8
Method: DFT, PBE
State: optimized geometry

Formation energy without anion corrections   -1726 meV/atom
DOS(E_F)   27.57 states/eV/cell
Total magnetization   0.0 μB per formula unit

Cell: 8.0811 8.0811 20.3858 Å, 90.00 90.00 120.00°
Space group R-3m (No. 166, hexagonal axes)
Inequivalent atoms, fractional coordinates:
Na: 0.0000 0.5000 0.0000 (multiplicity 9)
Er: 0.0000 0.0000 0.5000 (multiplicity 3)
Th: 0.0000 0.5000 0.5000 (multiplicity 9)
S: 0.0000 0.0000 0.2478 (multiplicity 6)
S: 0.0094 0.5047 0.2419 (multiplicity 18)


Entry 4:
Material: NaEr4ThS8
Method: DFT, PBE
State: optimized geometry

Formation energy without anion corrections   -1890 meV/atom
DOS(E_F)   10.85 states/eV/cell
Total magnetization   0.0 μB per formula unit

Cell: 8.0105 8.0105 20.1012 Å, 90.00 90.00 120.00°
Space group R3m (No. 160, hexagonal axes)
Inequivalent atoms, fractional coordinates:
Na: 0.0000 0.0000 0.0000 (multiplicity 3)
Er: 0.0000 0.0000 0.7430 (multiplicity 3)
Er: 0.0102 0.5051 0.8724 (multiplicity 9)
Th: 0.0000 0.0000 0.3682 (multiplicity 3)
S: 0.0000 0.0000 0.1334 (multiplicity 3)
S: 0.0000 0.0000 0.6119 (multiplicity 3)
S: 0.0156 0.5078 0.1263 (multiplicity 9)
S: 0.1794 0.3588 0.9491 (multiplicity 9)